Entry 1:
Ac6Tl2BiTe3: optimized geometry, GGA-PBE.

abc: 21.0940 4.7029 9.8223
angles: 90.00 104.64 90.00
Closest atoms and distances in Å follow each position.
Space group C2/m (No. 12)
Unique sites:
Ac (0.0038, 0.0000, 0.2499)  1 Tl 3.37, 2 Bi 3.39, 3 Te 3.42
Ac (0.1665, 0.5000, 0.5860)  3 Tl 3.37-3.38, 3 Te 3.40-3.42
Ac (0.1669, 0.5000, 0.0903)  2 Tl 3.39, 1 Bi 3.41, 3 Te 3.41-3.46
Tl (0.1688, 0.0000, 0.3395)  6 Ac 3.37-3.39
Bi (0.0000, 0.5000, 0.0000)  6 Ac 3.39-3.41
Te (0.0000, 0.5000, 0.5000)  6 Ac 3.40-3.42
Te (0.1636, 0.0000, 0.8371)  6 Ac 3.41-3.46

Summary:
- uncorrected formation energy (kJ/mol of atoms) = -97.5
- crystal system = monoclinic
- DOS at the Fermi energy (states/eV per atom) = 0.691
- spin magnetization (μB per formula unit) = 0.00



Entry 2:
Ac8TlBi3Te4: optimized geometry, GGA-PBE.

abc: 9.6642 9.6642 23.4181
angles: 90.00 90.00 120.00
Closest atoms and distances in Å follow each position.
Space group R-3m (No. 166, hexagonal axes)
Unique sites:
Ac (0.0000, 0.0000, 0.2487)  3 Bi 3.39, 3 Te 3.42
Ac (0.0061, 0.5031, 0.2476)  1 Tl 3.33, 2 Bi 3.39, 3 Te 3.42-3.48
Tl (0.0000, 0.0000, 0.5000)  6 Ac 3.33
Bi (0.0000, 0.5000, 0.5000)  6 Ac 3.39
Te (0.0000, 0.0000, 0.0000)  6 Ac 3.48
Te (0.0000, 0.5000, 0.0000)  6 Ac 3.42

Summary:
- uncorrected formation energy (kJ/mol of atoms) = -114.3
- crystal system = trigonal
- DOS at the Fermi energy (states/eV per atom) = 0.262
- spin magnetization (μB per formula unit) = 0.00



Entry 3:
AcTl3Bi2Te6: optimized geometry, GGA-PBE.

abc: 8.0797 13.9547 8.4969
angles: 90.00 108.48 90.00
Closest atoms and distances in Å follow each position.
Space group C2/m (No. 12)
Unique sites:
Ac (0.0000, 0.0000, 0.0000)  6 Te 3.32-3.34
Tl (0.0000, 0.1628, 0.5000)  6 Te 3.43-3.54
Tl (0.0000, 0.5000, 0.5000)  6 Te 3.42-3.52
Bi (0.0000, 0.3336, 0.0000)  6 Te 3.18-3.20
Te (0.2263, 0.5000, 0.2210)  2 Bi 3.18, 1 Ac 3.32, 3 Tl 3.42-3.51
Te (0.2494, 0.1735, 0.2252)  2 Bi 3.20, 1 Ac 3.34, 3 Tl 3.43-3.54

Summary:
- uncorrected formation energy (kJ/mol of atoms) = -55.8
- crystal system = monoclinic
- spin magnetization (μB per formula unit) = 0.00